CaGaPb3 after structural relaxation, computed with PBE.

a b c (Å): 5.870 5.870 5.870
angles (deg): 90.00 90.00 90.00
Positions (direct):
Ca: 0.000 0.000 0.000
Ga: 0.500 0.500 0.500
Pb: 0.000 0.000 0.500
Pb: 0.000 0.500 0.000
Pb: 0.500 0.000 0.000

ΔH_f (0 K): 57 kJ per mole of atoms
Size of the total moment: 0.00 μB per cell
Energy above the most stable polymorph in this dataset: 484.1 meV per atom

=====

Ca4Ga2Pb after structural relaxation, computed with PBE.

a b c (Å): 9.107 9.107 9.107
angles (deg): 33.86 33.86 33.86
Positions (direct):
Ca: 0.119 0.119 0.119
Ca: 0.372 0.372 0.372
Ca: 0.628 0.628 0.628
Ca: 0.881 0.881 0.881
Ga: 0.249 0.249 0.249
Ga: 0.751 0.751 0.751
Pb: 0.500 0.500 0.500

ΔH_f (0 K): -34 kJ per mole of atoms
Size of the total moment: 0.00 μB per cell

=====

CaGaPb after structural relaxation, computed with PBE.

a b c (Å): 4.436 6.394 6.805
angles (deg): 67.09 70.98 89.93
Positions (direct):
Ca: 0.000 0.000 0.000
Ca: 0.384 0.452 0.234
Ga: 0.324 0.907 0.351
Ga: 0.748 0.570 0.507
Pb: 0.091 0.554 0.819
Pb: 0.699 0.021 0.603

ΔH_f (0 K): -31 kJ per mole of atoms
Size of the total moment: 0.00 μB per cell

=====

Ca2GaPb4 after structural relaxation, computed with PBE.

a b c (Å): 8.863 8.863 8.863
angles (deg): 143.54 143.54 52.52
Positions (direct):
Ca: 0.129 0.129 0.000
Ca: 0.871 0.871 0.000
Ga: 0.500 0.500 0.000
Pb: 0.000 0.500 0.500
Pb: 0.330 0.330 0.000
Pb: 0.500 0.000 0.500
Pb: 0.670 0.670 0.000

ΔH_f (0 K): 2 kJ per mole of atoms
Size of the total moment: 0.00 μB per cell

=====

CaGaPb after structural relaxation, computed with PBE.

a b c (Å): 6.407 6.407 4.660
angles (deg): 111.28 111.28 93.35
Positions (direct):
Ca: 0.177 0.823 0.500
Ca: 0.823 0.177 0.000
Ga: 0.226 0.370 0.803
Ga: 0.370 0.226 0.303
Pb: 0.572 0.805 0.187
Pb: 0.805 0.572 0.687

ΔH_f (0 K): -33 kJ per mole of atoms
Size of the total moment: 0.00 μB per cell

=====

CaGaPb3 after structural relaxation, computed with PBE.

a b c (Å): 5.542 5.542 5.542
angles (deg): 90.00 90.00 90.00
Positions (direct):
Ca: 0.000 0.000 0.000
Ga: 0.500 0.500 0.500
Pb: 0.000 0.500 0.500
Pb: 0.500 0.000 0.500
Pb: 0.500 0.500 0.000

ΔH_f (0 K): 10 kJ per mole of atoms
Size of the total moment: 0.00 μB per cell
Energy above the most stable polymorph in this dataset: 0.0 meV per atom

=====

So what do the calculations give for energy? Going down the list: -2.64, -2.89, -3.24, -3.10, -3.26, -3.13 eV/atom.